A plane-wave DFT calculation with PBE was carried out for a relaxed structure of MnV.

```
MnV
1.0
-1.3551 2.0738 2.3226
1.3551 -2.0738 2.3226
1.3551 2.0738 -2.3226
Mn V
1 1
Direct
0.0000 0.0000 0.0000
0.5000 0.5000 0.0000
```

## Properties
The calculation puts the mass density at 6.7 Mg/m³. The value obtained for the total magnetization is 0.8 μB per cell. For the total energy, the calculation gives -8.75 eV per atom.


A plane-wave DFT calculation with PBE was carried out for a relaxed structure of FeRhCl6.

```
FeRhCl6
1.0
2.9600 -5.9998 0.0000
2.9600 5.9998 0.0000
-1.8201 0.0000 5.6374
Fe Rh Cl
1 1 6
Direct
0.0000 0.0000 0.0000
0.5000 0.5000 0.5000
0.1189 0.3894 0.2529
0.2511 0.2511 0.7463
0.3894 0.1189 0.2529
0.6106 0.8811 0.7471
0.7489 0.7489 0.2537
0.8811 0.6106 0.7471
```

## Properties
The raw formation energy comes out at -0.568 eV per atom. The calculation puts the mass density at 3.1 Mg/m³. The value obtained for the total magnetization is 5.0 μB per cell.


A plane-wave DFT calculation with PBE was carried out for a relaxed structure of Te3Ir.

```
Te3Ir
1.0
6.3223 0.0000 0.0000
0.0000 10.8395 0.0000
0.0000 0.0000 6.2217
Te Ir
12 4
Direct
0.0800 0.2500 0.1416
0.2202 0.5955 0.1597
0.2202 0.9045 0.1597
0.2798 0.0955 0.6597
0.2798 0.4045 0.6597
0.4200 0.7500 0.6416
0.5800 0.2500 0.3584
0.7202 0.5955 0.3403
0.7202 0.9045 0.3403
0.7798 0.0955 0.8403
0.7798 0.4045 0.8403
0.9200 0.7500 0.8584
0.0410 0.7500 0.4573
0.4590 0.2500 0.9573
0.5410 0.7500 0.0427
0.9590 0.2500 0.5427
```

## Properties
The raw formation energy comes out at 0.057 eV per atom. The calculation puts the mass density at 9.0 Mg/m³. The value obtained for the total magnetization is 0.0 μB per cell.


A plane-wave DFT calculation with PBE was carried out for a relaxed structure of CdSi2Os.

```
CdSi2Os
1.0
1.4579 -2.4181 0.0000
1.4579 2.4181 0.0000
0.0000 0.0000 9.4523
Cd Si Os
1 2 1
Direct
0.0000 0.0000 0.0000
0.0000 0.0000 0.5301
0.5000 0.5000 0.3038
0.5000 0.5000 0.7256
```

## Properties
The raw formation energy comes out at 0.438 eV per atom. The calculation puts the mass density at 8.9 Mg/m³. The value obtained for the total magnetization is 0.0 μB per cell.


A plane-wave DFT calculation with PBE was carried out for a relaxed structure of Tb4Sm3TmSe8.

```
Tb4Sm3TmSe8
1.0
4.1184 2.3778 6.7179
-4.1184 2.3778 6.7179
0.0000 -4.7555 6.7179
Tb Sm Tm Se
4 3 1 8
Direct
0.0000 0.0000 0.0000
0.0000 0.5000 0.5000
0.5000 0.0000 0.5000
0.5000 0.5000 0.0000
0.0000 0.0000 0.5000
0.0000 0.5000 0.0000
0.5000 0.0000 0.0000
0.5000 0.5000 0.5000
0.2525 0.2525 0.2525
0.2530 0.2530 0.7421
0.2530 0.7421 0.2530
0.2579 0.7470 0.7470
0.7421 0.2530 0.2530
0.7470 0.2579 0.7470
0.7470 0.7470 0.2579
0.7475 0.7475 0.7475
```

## Properties
The raw formation energy comes out at -1.768 eV per atom. The calculation puts the mass density at 7.9 Mg/m³. The value obtained for the total magnetization is 0.0 μB per cell.


A plane-wave DFT calculation with PBE was carried out for a relaxed structure of BaY2As.

```
BaY2As
1.0
2.0202 1.1663 10.1447
-2.0202 1.1663 10.1447
0.0000 -2.3327 10.1447
Ba Y As
1 2 1
Direct
0.0000 0.0000 0.0000
0.2202 0.2202 0.2202
0.7798 0.7798 0.7798
0.5000 0.5000 0.5000
```

## Properties
The calculation puts the mass density at 4.5 Mg/m³. The value obtained for the total magnetization is 0.0 μB per cell. For the total energy, the calculation gives -5.49 eV per atom.


A plane-wave DFT calculation with PBE was carried out for a relaxed structure of As3Pd5.

```
As3Pd5
1.0
-4.7715 4.7715 2.9124
4.7715 -4.7715 2.9124
4.7715 4.7715 -2.9124
As Pd
6 10
Direct
0.1612 0.6612 0.8224
0.2500 0.2500 0.0000
0.3388 0.1612 0.5000
0.6612 0.8388 0.5000
0.7500 0.7500 0.0000
0.8388 0.3388 0.1776
0.0699 0.2184 0.2883
0.2184 0.9301 0.1485
0.2500 0.7500 0.5000
0.2816 0.4301 0.7117
0.4301 0.7184 0.1485
0.5699 0.2816 0.8515
0.7184 0.5699 0.2883
0.7500 0.2500 0.5000
0.7816 0.0699 0.8515
0.9301 0.7816 0.7117
```

## Properties
The calculation puts the mass density at 9.5 Mg/m³. The calculation puts the polymorph energy (0 for the lowest one) at 46.3 meV/atom. The value obtained for the total magnetization is 0.0 μB per cell.


A plane-wave DFT calculation with PBE was carried out for a relaxed structure of Ta2PbAu.

```
Ta2PbAu
1.0
1.5308 0.8838 9.7667
-1.5308 0.8838 9.7667
0.0000 -1.7676 9.7667
Ta Pb Au
2 1 1
Direct
0.2455 0.2455 0.2455
0.7545 0.7545 0.7545
0.0000 0.0000 0.0000
0.5000 0.5000 0.5000
```

## Properties
The calculation puts the mass density at 16.0 Mg/m³. The value obtained for the total magnetization is 0.0 μB per cell. For the total energy, the calculation gives -7.24 eV per atom.


A plane-wave DFT calculation with PBE was carried out for a relaxed structure of Sc5CoAu2.

```
Sc5CoAu2
1.0
6.5192 0.0000 0.0000
0.0000 10.7519 0.0000
0.0000 0.0000 4.5762
Sc Co Au
10 2 4
Direct
0.0000 0.0000 0.0000
0.1371 0.2947 0.0000
0.1772 0.5871 0.5000
0.3228 0.0871 0.5000
0.3629 0.7947 0.0000
0.5000 0.5000 0.0000
0.6371 0.2053 0.0000
0.6772 0.9129 0.5000
0.8228 0.4129 0.5000
0.8629 0.7053 0.0000
0.0000 0.5000 0.0000
0.5000 0.0000 0.0000
0.0890 0.8450 0.5000
0.4110 0.3450 0.5000
0.5890 0.6550 0.5000
0.9110 0.1550 0.5000
```

## Properties
The calculation puts the mass density at 7.0 Mg/m³. The value obtained for the total magnetization is 0.0 μB per cell. For the total energy, the calculation gives -6.21 eV per atom.


A plane-wave DFT calculation with PBE was carried out for a relaxed structure of Zr4MnTc2.

```
Zr4MnTc2
1.0
2.3078 1.3324 7.4847
-2.3078 1.3324 7.4847
0.0000 -2.6649 7.4847
Zr Mn Tc
4 1 2
Direct
0.1201 0.1201 0.1201
0.3718 0.3718 0.3718
0.6282 0.6282 0.6282
0.8799 0.8799 0.8799
0.5000 0.5000 0.5000
0.2470 0.2470 0.2470
0.7530 0.7530 0.7530
```

## Properties
The calculation puts the mass density at 7.4 Mg/m³. The value obtained for the total magnetization is 2.3 μB per cell. For the total energy, the calculation gives -9.25 eV per atom.


A plane-wave DFT calculation with PBE was carried out for a relaxed structure of Mg6CdAu2.

```
Mg6CdAu2
1.0
5.0024 0.0000 0.0000
2.4763 4.7117 0.0000
2.0598 0.0216 7.5615
Mg Cd Au
6 1 2
Direct
0.0331 0.3111 0.1557
0.3399 0.3221 0.4993
0.3441 0.6901 0.1551
0.6559 0.3099 0.8449
0.6601 0.6779 0.5007
0.9669 0.6889 0.8443
0.0000 0.0000 0.5000
0.3219 0.0009 0.8188
0.6781 0.9991 0.1812
```

## Properties
The calculation puts the mass density at 6.1 Mg/m³. The value obtained for the total magnetization is 0.0 μB per cell. For the total energy, the calculation gives -2.20 eV per atom.


What did the first record say?
A plane-wave DFT calculation with PBE was carried out for a relaxed structure of MnV.

```
MnV
1.0
-1.3551 2.0738 2.3226
1.3551 -2.0738 2.3226
1.3551 2.0738 -2.3226
Mn V
1 1
Direct
0.0000 0.0000 0.0000
0.5000 0.5000 0.0000
```

## Properties
The calculation puts the mass density at 6.7 Mg/m³. The value obtained for the total magnetization is 0.8 μB per cell. For the total energy, the calculation gives -8.75 eV per atom.